Record 1
# Li3Tl3ZnBr8, relaxed, DFT PBE-GGA
data_Li3Tl3ZnBr8
_space_group_name_H-M_alt 'C 1 2/m 1'
_space_group_IT_number 12
_cell_length_a 14.1083
_cell_length_b 8.1331
_cell_length_c 9.0349
_cell_angle_alpha 90.00
_cell_angle_beta 121.36
_cell_angle_gamma 90.00
loop_
_space_group_symop_operation_xyz
'x,y,z'
'-x,-y,-z'
'-x,y,-z'
'x,-y,z'
'x+1/2,y+1/2,z'
'-x+1/2,-y+1/2,-z'
'-x+1/2,y+1/2,-z'
'x+1/2,-y+1/2,z'
loop_
_atom_site_label
_atom_site_type_symbol
_atom_site_fract_x
_atom_site_fract_y
_atom_site_fract_z
_atom_site_occupancy
Li1 Li 0.0000 0.0000 0.0000 1
Li2 Li 0.2500 0.2500 0.0000 1
Tl1 Tl 0.0000 0.5000 0.5000 1
Tl2 Tl 0.2500 0.2500 0.5000 1
Zn1 Zn 0.0000 0.5000 0.0000 1
Br1 Br 0.0164 0.2602 0.8102 1
Br2 Br 0.2228 0.5000 0.1894 1
Br3 Br 0.2318 0.0000 0.1946 1
# Final energy, eV/atom: -2.913

Record 2
# AlFeSnRh, relaxed, DFT PBE-GGA
data_AlFeSnRh
_space_group_name_H-M_alt 'F -4 3 m'
_space_group_IT_number 216
_space_group_name_Hall 'F -4 2 3'
_cell_length_a 6.1458
_cell_length_b 6.1458
_cell_length_c 6.1458
_cell_angle_alpha 90.00
_cell_angle_beta 90.00
_cell_angle_gamma 90.00
loop_
_atom_site_label
_atom_site_type_symbol
_atom_site_fract_x
_atom_site_fract_y
_atom_site_fract_z
_atom_site_occupancy
Al1 Al 0.0000 0.0000 0.0000 1
Fe1 Fe 0.2500 0.2500 0.2500 1
Sn1 Sn 0.0000 0.0000 0.5000 1
Rh1 Rh 0.2500 0.2500 0.7500 1
# Energy of formation from the pure elements, eV/atom: -0.32